Crystalline RbHg2Bi at its relaxed geometry, computed with PBE-GGA.

Energy (eV/atom): -1.486
DOS(E_F) (states/eV/atom): 0.189
Magnetic moment (μB per formula unit): 0.0
V (Å³ per atom): 45.80

a b c (Å): 5.838 5.838 11.516
angles (deg): 75.32 75.32 90.00
Sites, in units of the cell vectors:
Bi  0.000  0.000  0.000
Bi  0.750  0.250  0.500
Rb  0.500  0.500  0.000
Rb  0.250  0.750  0.500
Hg  0.874  0.125  0.250
Hg  0.876  0.625  0.250
Hg  0.375  0.126  0.750
Hg  0.875  0.124  0.750

---

Crystalline Mn2Tl2Pb at its relaxed geometry, computed with PBE-GGA.

Energy (eV/atom): -4.759
Energy relative to the lowest polymorph listed for this composition (meV/atom): 151.9
DOS(E_F) (states/eV/atom): 1.008
Magnetic moment (μB per formula unit): 7.6
V (Å³ per atom): 24.35

a b c (Å): 4.300 4.300 7.252
angles (deg): 72.75 72.75 90.00
Each line ends with the local moment (μB).
Sites, in units of the cell vectors:
Pb  0.000  0.000  0.000  -0.10
Tl  0.750  0.250  0.500  -0.02
Tl  0.250  0.750  0.500  -0.02
Mn  0.404  0.404  0.191  3.73
Mn  0.596  0.596  0.809  3.73

---

Crystalline RbPu2Cd2O7 at its relaxed geometry, computed with PBE-GGA.

Energy (eV/atom): -7.620
DOS(E_F) (states/eV/atom): 0.715
ΔE_f (raw) (eV per atom): -2.106
Magnetic moment (μB per formula unit): 7.0
V (Å³ per atom): 16.13

a b c (Å): 4.235 4.516 10.581
angles (deg): 102.32 101.54 90.00
Each line ends with the local moment (μB).
Sites, in units of the cell vectors:
Rb  0.000  0.000  0.000  0.01
Pu  0.394  0.394  0.788  3.81
Pu  0.606  0.606  0.212  3.81
Cd  0.273  0.773  0.546  0.01
Cd  0.727  0.227  0.454  0.01
O  0.388  0.887  0.775  -0.12
O  0.723  0.723  0.447  -0.03
O  0.107  0.608  0.215  -0.15
O  0.612  0.112  0.225  -0.12
O  0.277  0.277  0.553  -0.03
O  0.893  0.392  0.785  -0.15
O  0.500  0.500  0.000  -0.15

---

Crystalline NaAc2Pd2O6 at its relaxed geometry, computed with PBE-GGA.

Energy (eV/atom): -5.977
DOS(E_F) (states/eV/atom): 0.380
ΔE_f (raw) (eV per atom): -1.462
Magnetic moment (μB per formula unit): 0.0
V (Å³ per atom): 16.38

a b c (Å): 5.965 5.965 6.786
angles (deg): 63.93 63.93 60.00
Sites, in units of the cell vectors:
Na  0.000  0.000  0.000
Ac  0.787  0.787  0.638
Ac  0.213  0.213  0.362
Pd  0.416  0.416  0.752
Pd  0.584  0.584  0.248
O  0.755  0.755  0.299
O  0.192  0.755  0.299
O  0.755  0.192  0.299
O  0.245  0.808  0.701
O  0.808  0.245  0.701
O  0.245  0.245  0.701